A relaxed SrNdAgPt crystal. Source: Alexandria, functional GGA-PBE.

extended XYZ file:
```
4
Lattice="0.000 3.710 3.710 3.710 0.000 3.710 3.710 3.710 0.000" Properties=species:S:1:pos:R:3 pbc="T T T"
Sr 0.000 0.000 0.000
Nd 3.710 3.710 3.710
Ag 1.855 1.855 1.855
Pt 5.565 5.565 5.565
```

Properties
- SG = F-43m, No. 216
- calculated density (g/cm³) = 8.70
- energy above the lowest structure with this stoichiometry (meV/atom) = 59
- crystal system = cubic